DFT (GGA+U) results for a geometry-optimized CsLaNiF6 structure.

Output
Total DFT energy (no corrections) = -5.33 eV/atom
Spin magnetization = 1.90 μB per formula unit

Cell: 5.904 5.904 6.372 Å, 90.38 90.38 119.03°
Element x y z (fractional)
Cs: 0.000 0.000 0.000
La: 0.333 0.667 0.500
Ni: 0.669 0.331 0.500
F: 0.397 0.357 0.318
F: 0.404 0.037 0.686
F: 0.638 0.030 0.319
F: 0.643 0.603 0.682
F: 0.963 0.596 0.314
F: 0.970 0.362 0.681